# 1
DFT (PBE) results for a geometry-optimized AcCeRu2 structure.

Cell: 6.2489 6.2489 6.2489 Å, 42.01 42.01 42.01°
Atoms (fractional coordinates):
Ac  0.0000  0.0000  0.0000
Ce  0.5000  0.5000  0.5000
Ru  0.2051  0.2051  0.2051
Ru  0.7949  0.7949  0.7949

## Properties
Its distance to the lowest polymorph of the same formula is 0.0 kJ per mole of atoms. The calculation puts the formation enthalpy at 0 K at -0.2056 eV/atom. Its symmetry is R-3m, No. 166.

# 2
DFT (PBE) results for a geometry-optimized AcCeRu structure.

Cell: 4.3778 4.3778 5.4028 Å, 90.00 90.00 120.00°
Atoms (fractional coordinates):
Ac  0.0000  0.0000  0.0000
Ce  0.6667  0.3333  0.5000
Ru  0.3333  0.6667  0.5000

## Properties
Its distance to the lowest polymorph of the same formula is 4.0 kJ per mole of atoms. The calculation puts the formation enthalpy at 0 K at -0.1883 eV/atom. Its symmetry is P-6m2, No. 187.

# 3
DFT (PBE) results for a geometry-optimized AcCeRu2 structure.

Cell: 8.9562 7.8502 5.7635 Å, 90.00 90.17 90.00°
Atoms (fractional coordinates):
Ac  0.1380  0.0818  0.2637
Ac  0.1380  0.4182  0.7637
Ac  0.8620  0.5818  0.2363
Ac  0.8620  0.9182  0.7363
Ce  0.3798  0.6092  0.2816
Ce  0.3798  0.8908  0.7816
Ce  0.6202  0.1092  0.2184
Ce  0.6202  0.3908  0.7184
Ru  0.1513  0.7235  0.4411
Ru  0.1513  0.7765  0.9411
Ru  0.4056  0.2388  0.5774
Ru  0.4056  0.2612  0.0774
Ru  0.5944  0.7388  0.9226
Ru  0.5944  0.7612  0.4226
Ru  0.8487  0.2235  0.0589
Ru  0.8487  0.2765  0.5589

## Properties
Its distance to the lowest polymorph of the same formula is 3.1 kJ per mole of atoms. The calculation puts the formation enthalpy at 0 K at -0.1731 eV/atom. Its symmetry is P2_1/c, No. 14.

# 4
DFT (PBE) results for a geometry-optimized AcCeRu2 structure.

Cell: 5.6559 5.6267 12.2758 Å, 90.00 103.16 90.00°
Atoms (fractional coordinates):
Ac  0.1985  0.1117  0.1427
Ac  0.1985  0.8883  0.6427
Ac  0.8015  0.1117  0.3573
Ac  0.8015  0.8883  0.8573
Ce  0.2867  0.4104  0.8702
Ce  0.2867  0.5896  0.3702
Ce  0.7133  0.4104  0.6298
Ce  0.7133  0.5896  0.1298
Ru  0.1324  0.3821  0.5946
Ru  0.1324  0.6179  0.0946
Ru  0.3463  0.1689  0.4307
Ru  0.3463  0.8311  0.9307
Ru  0.6537  0.1689  0.0693
Ru  0.6537  0.8311  0.5693
Ru  0.8676  0.3821  0.9054
Ru  0.8676  0.6179  0.4054

## Properties
Its distance to the lowest polymorph of the same formula is 5.4 kJ per mole of atoms. The calculation puts the formation enthalpy at 0 K at -0.1501 eV/atom. Its symmetry is P2/c, No. 13.

Number 1: total energy -7.3541 eV/atom. Number 2: total energy -6.6277 eV/atom. Number 3: total energy -7.3216 eV/atom. Number 4: total energy -7.2986 eV/atom.